# LaBeCdCu2

A PBEsol-optimized structure of LaBeCdCu2 (SCAN, Alexandria via LeMat-Bulk).

Lattice parameters (Å, degrees): 4.4579 4.4579 4.5155 90.00 90.00 90.00
Fractional positions:
La 0.0000 0.0000 0.0000
Be 0.5000 0.5000 0.5000
Cd 0.5000 0.5000 0.0000
Cu 0.0000 0.5000 0.5000
Cu 0.5000 0.0000 0.5000

Properties
- space group = P4/mmm
- E_tot (eV per cell) = -108.252
- total magnetic moment (μB per formula unit) = 0.0
- ΔE_f (eV per atom) = 0.0040